Density functional theory data (PBE) for a geometry-optimized Li8Ag5Au structure.

a b c (Å): 8.1436 8.1436 7.3782
angles (deg): 90.00 90.00 90.00
Space group I-4 (No. 82)
One atom of each set of equivalent atoms:
Li (0.0256, 0.1647, 0.1889) x8
Li (0.1388, 0.2780, 0.5369) x8
Ag (0.0000, 0.5000, 0.2500) x2
Ag (0.0925, 0.3406, 0.8890) x8
Au (0.0000, 0.0000, 0.5000) x2

Values from the calculation:
M_tot = 0.00 μB/f.u.
ΔE_f = -0.16 eV per atom



Density functional theory data (PBE) for a geometry-optimized Li4Ag2Au5 structure.

a b c (Å): 9.1731 4.0952 10.0238
angles (deg): 90.00 103.98 90.00
Space group C2/m (No. 12)
One atom of each set of equivalent atoms:
Li (0.0492, 0.0000, 0.3314) x4
Li (0.1876, 0.5000, 0.7758) x4
Ag (0.0885, 0.5000, 0.1386) x4
Au (0.0000, 0.5000, 0.5000) x2
Au (0.1343, 0.0000, 0.9424) x4
Au (0.2263, 0.0000, 0.5986) x4

Values from the calculation:
relative energy among the computed polymorphs = 0 meV per atom
M_tot = 0.00 μB/f.u.
ΔE_f = -0.37 eV per atom



Density functional theory data (PBE) for a geometry-optimized Li2Ag3Au2 structure.

a b c (Å): 4.9270 5.0182 5.0551
angles (deg): 99.44 99.53 98.23
Space group P-1 (No. 2)
One atom of each set of equivalent atoms:
Li (0.0908, 0.1635, 0.3045) x2
Ag (0.2142, 0.4348, 0.8565) x2
Ag (0.5000, 0.0000, 0.0000) x1
Au (0.3473, 0.7236, 0.4286) x2

Values from the calculation:
relative energy among the computed polymorphs = 3 meV per atom
M_tot = 0.00 μB/f.u.
ΔE_f = -0.25 eV per atom